[1]
# BaBSeBr2, relaxed, DFT PBE
data_BaBSeBr2
_space_group_name_H-M_alt 'P 4/m m m'
_space_group_IT_number 123
_space_group_name_Hall '-P 4 2'
_cell_length_a 5.413
_cell_length_b 5.413
_cell_length_c 4.410
_cell_angle_alpha 90.00
_cell_angle_beta 90.00
_cell_angle_gamma 90.00
loop_
_atom_site_label
_atom_site_fract_x
_atom_site_fract_y
_atom_site_fract_z
Ba1 0.000 0.000 0.000
B1 0.500 0.500 0.500
Se1 0.500 0.500 0.000
Br1 0.000 0.500 0.500
# - crystal system = tetragonal
# - E above lowest polymorph (eV per atom) = 0.000
# - formation energy (no corrections) (eV per atom) = -0.569

[2]
# ZnGa3Cu12, relaxed, DFT PBE
data_ZnGa3Cu12
_space_group_name_H-M_alt 'P 4/m m m'
_space_group_IT_number 123
_space_group_name_Hall '-P 4 2'
_cell_length_a 3.676
_cell_length_b 3.676
_cell_length_c 14.911
_cell_angle_alpha 90.00
_cell_angle_beta 90.00
_cell_angle_gamma 90.00
loop_
_atom_site_label
_atom_site_fract_x
_atom_site_fract_y
_atom_site_fract_z
Zn1 0.000 0.000 0.000
Ga1 0.000 0.000 0.249
Ga2 0.000 0.000 0.500
Cu1 0.000 0.500 0.124
Cu2 0.000 0.500 0.374
Cu3 0.500 0.500 0.000
Cu4 0.500 0.500 0.250
Cu5 0.500 0.500 0.500
# - crystal system = tetragonal
# - energy of formation (eV/atom) = -0.090

[3]
# TiAgPd3, relaxed, DFT PBE
data_TiAgPd3
_space_group_name_H-M_alt 'P m -3 m'
_space_group_IT_number 221
_space_group_name_Hall '-P 4 2 3'
_cell_length_a 4.647
_cell_length_b 4.647
_cell_length_c 4.647
_cell_angle_alpha 90.00
_cell_angle_beta 90.00
_cell_angle_gamma 90.00
loop_
_atom_site_label
_atom_site_fract_x
_atom_site_fract_y
_atom_site_fract_z
Ti1 0.000 0.000 0.000
Ag1 0.500 0.500 0.500
Pd1 0.000 0.000 0.500
# - crystal system = cubic
# - energy of formation (eV/atom) = 0.439
# - E above lowest polymorph (eV per atom) = 0.807

[4]
# Dy3AlCd3, relaxed, DFT PBE
data_Dy3AlCd3
_space_group_name_H-M_alt 'I m m 2'
_space_group_IT_number 44
_cell_length_a 3.563
_cell_length_b 4.805
_cell_length_c 20.484
_cell_angle_alpha 90.00
_cell_angle_beta 90.00
_cell_angle_gamma 90.00
loop_
_space_group_symop_operation_xyz
'x,y,z'
'-x,-y,z'
'-x,y,z'
'x,-y,z'
'x+1/2,y+1/2,z+1/2'
'-x+1/2,-y+1/2,z+1/2'
'-x+1/2,y+1/2,z+1/2'
'x+1/2,-y+1/2,z+1/2'
loop_
_atom_site_label
_atom_site_fract_x
_atom_site_fract_y
_atom_site_fract_z
Dy1 0.000 0.000 0.000
Dy2 0.000 0.000 0.397
Dy3 0.000 0.500 0.204
Al1 0.000 0.500 0.768
Cd1 0.000 0.000 0.557
Cd2 0.000 0.000 0.841
Cd3 0.000 0.500 0.635
# - crystal system = orthorhombic
# - energy of formation (eV/atom) = -0.302

[5]
# InFe2Mo, relaxed, DFT PBE
data_InFe2Mo
_space_group_name_H-M_alt 'R -3 m'
_space_group_IT_number 166
_space_group_name_Hall '-R 3 2"'
_cell_length_a 2.8982
_cell_length_b 2.8982
_cell_length_c 25.2893
_cell_angle_alpha 90.00
_cell_angle_beta 90.00
_cell_angle_gamma 120.00
loop_
_atom_site_label
_atom_site_fract_x
_atom_site_fract_y
_atom_site_fract_z
In1 0.0000 0.0000 0.0000
Fe1 0.0000 0.0000 0.2440
Mo1 0.0000 0.0000 0.5000
# - crystal system = trigonal
# - energy of formation (eV/atom) = 0.426

[6]
# CaNb2H, relaxed, DFT PBE
data_CaNb2H
_space_group_name_H-M_alt 'P 1'
_space_group_IT_number 1
_cell_length_a 3.046
_cell_length_b 4.683
_cell_length_c 5.164
_cell_angle_alpha 66.88
_cell_angle_beta 88.00
_cell_angle_gamma 87.76
loop_
_space_group_symop_operation_xyz
'x,y,z'
loop_
_atom_site_label
_atom_site_fract_x
_atom_site_fract_y
_atom_site_fract_z
Ca1 0.000 0.000 0.000
Nb1 0.346 0.670 0.630
Nb2 0.620 0.334 0.364
H1 0.161 0.464 0.067
# - crystal system = triclinic
# - E above lowest polymorph (eV per atom) = 0.187

[7]
# Sc2SbTe, relaxed, DFT PBE
data_Sc2SbTe
_space_group_name_H-M_alt 'R -3 m'
_space_group_IT_number 166
_space_group_name_Hall '-R 3 2"'
_cell_length_a 4.4439
_cell_length_b 4.4439
_cell_length_c 24.2271
_cell_angle_alpha 90.00
_cell_angle_beta 90.00
_cell_angle_gamma 120.00
loop_
_atom_site_label
_atom_site_fract_x
_atom_site_fract_y
_atom_site_fract_z
Sc1 0.0000 0.0000 0.1103
Sb1 0.0000 0.0000 0.5000
Te1 0.0000 0.0000 0.0000
# - crystal system = trigonal
# - E above lowest polymorph (eV per atom) = 0.476
# - formation energy (no corrections) (eV per atom) = -0.581

[8]
# BeICl2, relaxed, DFT PBE
data_BeICl2
_space_group_name_H-M_alt 'R -3 m'
_space_group_IT_number 166
_space_group_name_Hall '-R 3 2"'
_cell_length_a 3.3059
_cell_length_b 3.3059
_cell_length_c 35.5219
_cell_angle_alpha 90.00
_cell_angle_beta 90.00
_cell_angle_gamma 120.00
loop_
_atom_site_label
_atom_site_fract_x
_atom_site_fract_y
_atom_site_fract_z
Be1 0.0000 0.0000 0.0000
I1 0.0000 0.0000 0.5000
Cl1 0.0000 0.0000 0.3685
# - crystal system = trigonal
# - E above lowest polymorph (eV per atom) = 0.000
# - formation energy (no corrections) (eV per atom) = -0.776

Please write out number 8 again, unchanged.
# BeICl2, relaxed, DFT PBE
data_BeICl2
_space_group_name_H-M_alt 'R -3 m'
_space_group_IT_number 166
_space_group_name_Hall '-R 3 2"'
_cell_length_a 3.3059
_cell_length_b 3.3059
_cell_length_c 35.5219
_cell_angle_alpha 90.00
_cell_angle_beta 90.00
_cell_angle_gamma 120.00
loop_
_atom_site_label
_atom_site_fract_x
_atom_site_fract_y
_atom_site_fract_z
Be1 0.0000 0.0000 0.0000
I1 0.0000 0.0000 0.5000
Cl1 0.0000 0.0000 0.3685
# - crystal system = trigonal
# - E above lowest polymorph (eV per atom) = 0.000
# - formation energy (no corrections) (eV per atom) = -0.776

Number 4 is which compound?
Dy3AlCd3